Below is crystalline La4Bi2B at its relaxed geometry, with properties calculated at the PBE level.

Computed properties:
M_tot ... 0.0 μB per formula unit
Energy of formation from the pure elements ... -0.58 eV per atom
DOS at the Fermi energy ... 4.909 states/eV per cell

POSCAR file:
```
La4Bi2B
1.0
-2.612 2.612 8.524
2.612 -2.612 8.524
2.612 2.612 -8.524
La Bi B
4 2 1
direct
0.000 0.500 0.500
0.162 0.162 0.000
0.500 0.000 0.500
0.838 0.838 0.000
0.361 0.361 0.000
0.639 0.639 0.000
0.000 0.000 0.000
```